[1]
16
Lattice="9.185 0.000 0.000 -4.593 7.955 0.000 0.000 0.000 6.442" Properties=species:S:1:pos:R:3 comment="PBE Sm3Tl2Hg3, optimized geometry" density_g_cm3=10.3 polymorph_energy_mev_per_atom=0 e_form_mev_per_atom=-307 pbc="T T T"
Sm -1.516 2.626 1.611
Sm -3.076 5.329 4.832
Sm 3.032 0.000 1.611
Sm 1.516 2.626 4.832
Sm 6.153 0.000 4.832
Sm 3.076 5.329 1.611
Tl 0.000 5.303 0.000
Tl 0.000 5.303 3.221
Tl 4.593 2.652 0.000
Tl 4.593 2.652 3.221
Hg -1.501 2.600 4.832
Hg -3.091 5.355 1.611
Hg 3.002 0.000 4.832
Hg 1.501 2.600 1.611
Hg 6.183 0.000 1.611
Hg 3.091 5.355 4.832

=====

[2]
4
Lattice="4.808 0.000 0.000 0.000 4.808 0.000 0.000 0.000 4.825" Properties=species:S:1:pos:R:3 comment="PBE Pr2NdSi, optimized geometry" density_g_cm3=6.8 polymorph_energy_mev_per_atom=110 e_form_raw_ev_per_atom=-0.243 pbc="T T T"
Pr 0.000 2.404 0.000
Pr 2.404 0.000 0.000
Nd 0.000 0.000 2.413
Si 2.404 2.404 2.413

=====

Q: Which formula does entry 2 have?
A: Pr2NdSi

=====

Copy entry 2 word for word.
4
Lattice="4.808 0.000 0.000 0.000 4.808 0.000 0.000 0.000 4.825" Properties=species:S:1:pos:R:3 comment="PBE Pr2NdSi, optimized geometry" density_g_cm3=6.8 polymorph_energy_mev_per_atom=110 e_form_raw_ev_per_atom=-0.243 pbc="T T T"
Pr 0.000 2.404 0.000
Pr 2.404 0.000 0.000
Nd 0.000 0.000 2.413
Si 2.404 2.404 2.413